## 1
Material: Er2Se3O12
Method: DFT, PBE
State: relaxed

Calculated values
- density of states at the Fermi level (states/eV per atom) = 0.000
- space group = C2
- volume (Å³/cell) = 312.5
- magnetization (μB per cell) = 0.00

a b c (Å): 7.1006 7.1006 6.8481
angles (deg): 88.51 88.51 64.91
Element x y z (fractional)
Se1 0.3386 0.6614 0.0000
Se2 0.8001 0.4580 0.3700
Se3 0.5420 0.1999 0.6300
O1 0.3849 0.4463 0.1346
O2 0.8712 0.5713 0.5485
O3 0.9175 0.5731 0.1541
O4 0.4287 0.1288 0.4515
O5 0.1421 0.7167 0.8476
O6 0.5849 0.9972 0.9979
O7 0.2833 0.8579 0.1524
O8 0.9896 0.2197 0.3452
O9 0.5537 0.6151 0.8654
O10 0.0028 0.4151 0.0021
O11 0.4269 0.0825 0.8459
O12 0.7803 0.0104 0.6548
Er1 0.8210 0.7175 0.8377
Er2 0.2825 0.1790 0.1623

=====

## 2
Material: Er2Se3O12
Method: DFT, PBE
State: relaxed

Calculated values
- space group = C2
- volume (Å³/cell) = 274.6
- magnetization (μB per cell) = 4.09

a b c (Å): 7.0579 7.0579 6.5728
angles (deg): 78.19 78.19 59.68
Element x y z (fractional)
Se1 0.3727 0.6273 0.0000
Se2 0.3273 0.2647 0.6296
Se3 0.7353 0.6727 0.3704
O1 0.8787 0.7249 0.5094
O2 0.4126 0.3856 0.1360
O3 0.2751 0.1213 0.4906
O4 0.9247 0.1955 0.2959
O5 0.5011 0.0505 0.8073
O6 0.9495 0.4989 0.1927
O7 0.6523 0.8922 0.1702
O8 0.6144 0.5874 0.8640
O9 0.2858 0.8162 0.1629
O10 0.1838 0.7142 0.8371
O11 0.1078 0.3477 0.8298
O12 0.8045 0.0753 0.7041
Er1 0.2758 0.1514 0.1430
Er2 0.8486 0.7242 0.8570

=====

Least stable: 2

=====

## 1
Material: Sm2ErO
Method: DFT, PBE
State: relaxed

Calculated values
- density of states at the Fermi level (states/eV per atom) = 1.266
- space group = P4/mmm
- volume (Å³/cell) = 92.8
- magnetization (μB per cell) = 0.00

a b c (Å): 3.2298 3.2298 8.8926
angles (deg): 90.00 90.00 90.00
Element x y z (fractional)
O1 0.5000 0.5000 0.0000
Er1 0.5000 0.5000 0.5000
Sm1 0.0000 0.0000 0.8267
Sm2 0.0000 0.0000 0.1733

=====

## 2
Material: Sm2ErO
Method: DFT, PBE
State: relaxed

Calculated values
- density of states at the Fermi level (states/eV per atom) = 1.140
- space group = R-3m
- volume (Å³/cell) = 102.3
- magnetization (μB per cell) = 0.00

a b c (Å): 3.5783 3.5783 9.4539
angles (deg): 79.09 79.09 60.00
Element x y z (fractional)
Sm1 0.1185 0.1185 0.6445
Sm2 0.8815 0.8815 0.3555
Er1 0.0000 0.0000 0.0000
O1 0.5000 0.5000 0.5000

=====

Least stable: 1